No. 1
First-principles (PBE) data for a relaxed structure of TcTe2O, as listed in the Alexandria database.

Calculated values
Formation energy (no corrections)   0.216 eV/atom
Fermi-level density of states   7.69 states/eV/cell

Unit cell a=5.6657 b=5.6657 c=7.0553 alpha=66.33 beta=66.33 gamma=90.00
Fractional positions:
Te 0.6019 0.1250 0.2500
Te 0.1481 0.6250 0.2500
Te 0.3750 0.3981 0.7500
Te 0.8750 0.8519 0.7500
Tc 0.0000 0.0000 0.0000
Tc 0.7500 0.2500 0.5000
O 0.5000 0.5000 0.0000
O 0.2500 0.7500 0.5000

=====

No. 2
First-principles (PBE) data for a relaxed structure of TcTe2O, as listed in the Alexandria database.

Calculated values
Formation energy (no corrections)   0.684 eV/atom
Fermi-level density of states   3.99 states/eV/cell

Unit cell a=9.0138 b=9.0138 c=9.0138 alpha=20.07 beta=20.07 gamma=20.07
Each line ends with the local moment (μB).
Fractional positions:
Te 0.9018 0.9018 0.9018  -0.02
Te 0.0982 0.0982 0.0982  -0.02
Tc 0.0000 0.0000 0.0000  0.80
O 0.5000 0.5000 0.5000  -0.02

=====

No. 3
First-principles (PBE) data for a relaxed structure of TcTeO2, as listed in the Alexandria database.

Calculated values
Formation energy (no corrections)   -0.489 eV/atom
Fermi-level density of states   8.28 states/eV/cell

Unit cell a=6.0432 b=6.0432 c=6.0425 alpha=60.00 beta=60.00 gamma=90.00
Fractional positions:
Te 0.0000 0.0000 0.0000
Te 0.7500 0.2500 0.5000
Tc 0.5000 0.5000 0.0000
Tc 0.2500 0.7500 0.5000
O 0.3737 0.1250 0.2500
O 0.3763 0.6250 0.2500
O 0.3750 0.6263 0.7500
O 0.8750 0.6237 0.7500

=====

No. 4
First-principles (PBE) data for a relaxed structure of Tc2TeO8, as listed in the Alexandria database.

Calculated values
Formation energy (no corrections)   -1.105 eV/atom

Unit cell a=5.3894 b=6.3016 c=6.3016 alpha=76.23 beta=91.13 gamma=91.13
Fractional positions:
Tc 0.5896 0.2130 0.2130
Tc 0.4104 0.7870 0.7870
Te 0.0000 0.0000 0.0000
O 0.2349 0.0439 0.7204
O 0.2349 0.7204 0.0439
O 0.7651 0.9561 0.2796
O 0.3166 0.6227 0.6227
O 0.7651 0.2796 0.9561
O 0.2618 0.1666 0.1666
O 0.7382 0.8334 0.8334
O 0.6834 0.3773 0.3773